1.
Tl3CSe | PBE | optimized geometry

Geometry as CIF:
```
data_Tl3CSe
_cell_length_a 6.195
_cell_length_b 6.195
_cell_length_c 6.195
_cell_angle_alpha 90.00
_cell_angle_beta 90.00
_cell_angle_gamma 90.00
_symmetry_space_group_name_H-M 'P m -3 m'
_symmetry_Int_Tables_number 221
_symmetry_space_group_name_Hall '-P 4 2 3'
loop_
_atom_site_label
_atom_site_fract_x
_atom_site_fract_y
_atom_site_fract_z
Tl1 0.000 0.000 0.500
C1 0.500 0.500 0.500
Se1 0.000 0.000 0.000
```

The value obtained for the spin magnetization is 2.998 μB/cell. The calculated volume is 47.55 A^3/atom. Its energy relative to the lowest polymorph listed for this composition is 3.396 eV per formula unit. As for the density of states at the Fermi level: 0.298 states/eV/atom. The energy is -2.583 eV/atom. For the uncorrected formation energy, the calculation gives 1.378 eV per atom.

2.
Tl2CSe2 | PBE | optimized geometry

Geometry as CIF:
```
data_Tl2CSe2
_cell_length_a 6.268
_cell_length_b 6.268
_cell_length_c 6.152
_cell_angle_alpha 90.00
_cell_angle_beta 90.00
_cell_angle_gamma 90.00
_symmetry_space_group_name_H-M 'P 4/m b m'
_symmetry_Int_Tables_number 127
_symmetry_space_group_name_Hall '-P 4 2ab'
loop_
_atom_site_label
_atom_site_fract_x
_atom_site_fract_y
_atom_site_fract_z
Tl1 0.186 0.314 0.000
C1 0.000 0.000 0.500
Se1 0.230 0.730 0.500
```

The value obtained for the spin magnetization is 0.000 μB/cell. The calculated volume is 24.17 A^3/atom. Its energy relative to the lowest polymorph listed for this composition is 1.874 eV per formula unit. As for the density of states at the Fermi level: 0.586 states/eV/atom. The energy is -3.289 eV/atom. For the uncorrected formation energy, the calculation gives 0.896 eV per atom.

3.
TlCSe2 | PBE | optimized geometry

Geometry as CIF:
```
data_TlCSe2
_cell_length_a 6.786
_cell_length_b 6.786
_cell_length_c 8.223
_cell_angle_alpha 90.00
_cell_angle_beta 90.00
_cell_angle_gamma 90.00
_symmetry_space_group_name_H-M 'I -4 2 d'
_symmetry_Int_Tables_number 122
_symmetry_space_group_name_Hall 'I -4 2bw'
loop_
_atom_site_label
_atom_site_fract_x
_atom_site_fract_y
_atom_site_fract_z
Tl1 0.000 0.000 0.000
C1 0.000 0.000 0.500
Se1 0.112 0.250 0.625
```

The value obtained for the spin magnetization is 0.000 μB/cell. The calculated volume is 23.67 A^3/atom. Its energy relative to the lowest polymorph listed for this composition is 0.398 eV per formula unit. As for the density of states at the Fermi level: 0.714 states/eV/atom. The energy is -3.929 eV/atom. For the uncorrected formation energy, the calculation gives 0.711 eV per atom.